Arrangement a

Here is Nd3Sm7Tm2 after structural relaxation from Alexandria via LeMat-Bulk. Energies are from PBE.

* theoretical density: 7.1 g cm⁻³
* crystal system: trigonal
* density of states at the Fermi level: 1.684 states/eV/atom
* magnetic moment: 0.000 μB/atom

abc: 6.584 6.584 11.984
angles: 74.06 74.06 60.00
Fractional positions:
Tm: 0.666 0.666 0.001
Tm: 0.334 0.334 0.999
Sm: 0.500 0.500 0.500
Sm: 0.415 0.415 0.250
Sm: 0.081 0.585 0.750
Sm: 0.415 0.919 0.250
Sm: 0.585 0.585 0.750
Sm: 0.919 0.415 0.250
Sm: 0.585 0.081 0.750
Nd: 0.000 0.000 0.000
Nd: 0.154 0.154 0.537
Nd: 0.846 0.846 0.463

Arrangement b

Here is Nd3Sm7Tm2 after structural relaxation from Alexandria via LeMat-Bulk. Energies are from PBE.

* theoretical density: 7.5 g cm⁻³
* crystal system: monoclinic
* density of states at the Fermi level: 1.359 states/eV/atom
* magnetic moment: 0.000 μB/atom

abc: 3.606 5.916 19.067
angles: 93.06 90.00 90.00
Fractional positions:
Sm: 0.500 0.743 0.464
Sm: 0.500 0.257 0.536
Sm: 0.500 0.811 0.819
Sm: 0.000 0.687 0.145
Sm: 0.500 0.189 0.181
Sm: 0.000 0.000 0.000
Sm: 0.000 0.313 0.855
Tm: 0.500 0.290 0.705
Tm: 0.500 0.710 0.295
Nd: 0.500 0.500 0.000
Nd: 0.000 0.219 0.366
Nd: 0.000 0.781 0.634

Among the structures shown above, arrangement b is the most stable, with the second-best lying 192 meV/atom higher.